Computed, not measured: a relaxed structure of LaGa2Au4 at the PBE level of DFT.

Cell: 4.2914 4.2914 10.9555 Å, 78.71 78.71 60.00°
Element x y z (fractional)
Au: 0.1097 0.1097 0.6709
Au: 0.8903 0.8903 0.3291
Au: 0.7233 0.7233 0.8301
Au: 0.2767 0.2767 0.1699
La: 0.0000 0.0000 0.0000
Ga: 0.1930 0.1930 0.4211
Ga: 0.8070 0.8070 0.5789

Results
Space group: R-3m, No. 166
Polymorph energy (0 for the lowest one): 205 meV/atom
Density of states at the Fermi level: 3.39 states/eV/f.u.
V: 170 Å³/cell
Formation energy: -0.319 eV per atom

=====

Computed, not measured: a relaxed structure of LaGa4Au12 at the PBE level of DFT.

Cell: 7.8138 7.8138 7.8138 Å, 109.47 109.47 109.47°
Element x y z (fractional)
Au: 0.5019 0.8455 0.6563
Au: 0.3437 0.4981 0.1545
Au: 0.1545 0.6563 0.8108
Au: 0.6563 0.8108 0.1545
Au: 0.8455 0.6563 0.5019
Au: 0.8108 0.1545 0.6563
Au: 0.1545 0.3437 0.4981
Au: 0.6563 0.5019 0.8455
Au: 0.1892 0.8455 0.3437
Au: 0.3437 0.1892 0.8455
Au: 0.4981 0.1545 0.3437
Au: 0.8455 0.3437 0.1892
La: 0.0000 0.0000 0.0000
Ga: 0.5000 0.5000 0.5000
Ga: 0.5000 0.0000 0.0000
Ga: 0.0000 0.5000 0.0000
Ga: 0.0000 0.0000 0.5000

Results
Space group: Im-3, No. 204
Density of states at the Fermi level: 6.13 states/eV/f.u.
V: 367 Å³/cell
Formation energy: -0.119 eV per atom

=====

> Which of these has the lowest density of states at the Fermi level?

LaGa2Au4